VASP calculation (GGA-PBE) on a relaxed structure of SbBrCl2.

Results
Crystal system: monoclinic
Symmetry: No. 11
E_form (uncorrected), eV per atom: -0.773
Offset from the most stable computed form, meV/atom: 0
Final energy, eV per atom: -3.145

Cell lengths 5.564, 9.041, 7.062 Å; angles 90.00, 110.01, 90.00 degrees
Element x y z (fractional)
Sb 0.014 0.250 0.003
Sb 0.986 0.750 0.997
Br 0.169 0.250 0.706
Br 0.831 0.750 0.294
Cl 0.299 0.059 0.195
Cl 0.299 0.441 0.195
Cl 0.701 0.559 0.805
Cl 0.701 0.941 0.805

=====

VASP calculation (GGA-PBE) on a relaxed structure of Ba2NpN3.

Results
Crystal system: orthorhombic
Symmetry: No. 63
E_form (uncorrected), eV per atom: -0.783
Offset from the most stable computed form, meV/atom: 50
Final energy, eV per atom: -7.744

Cell lengths 6.498, 6.498, 6.428 Å; angles 90.00, 90.00, 67.61 degrees
Element x y z (fractional)
Ba 0.015 0.315 0.250
Ba 0.315 0.015 0.750
Ba 0.685 0.985 0.250
Ba 0.985 0.685 0.750
Np 0.409 0.591 0.250
Np 0.591 0.409 0.750
N 0.125 0.875 0.250
N 0.371 0.371 0.000
N 0.371 0.371 0.500
N 0.629 0.629 0.000
N 0.629 0.629 0.500
N 0.875 0.125 0.750

=====

VASP calculation (GGA-PBE) on a relaxed structure of Ni3RhW.

Results
Crystal system: orthorhombic
Symmetry: No. 63
Offset from the most stable computed form, meV/atom: 115
Final energy, eV per atom: -7.523

Cell lengths 6.171, 6.171, 5.130 Å; angles 90.00, 90.00, 139.37 degrees
Element x y z (fractional)
Ni 0.002 0.998 0.750
Ni 0.189 0.811 0.002
Ni 0.189 0.811 0.498
Ni 0.811 0.189 0.502
Ni 0.811 0.189 0.998
Ni 0.998 0.002 0.250
Rh 0.383 0.617 0.750
Rh 0.617 0.383 0.250
W 0.387 0.613 0.250
W 0.613 0.387 0.750

=====

VASP calculation (GGA-PBE) on a relaxed structure of IrPt2SN.

Results
Crystal system: tetragonal
Symmetry: No. 123
E_form (uncorrected), eV per atom: 1.703
Final energy, eV per atom: -4.976

Cell lengths 4.517, 4.517, 4.362 Å; angles 90.00, 90.00, 90.00 degrees
Element x y z (fractional)
Ir 0.000 0.000 0.000
Pt 0.000 0.500 0.500
Pt 0.500 0.000 0.500
S 0.000 0.000 0.500
N 0.500 0.500 0.000

=====

VASP calculation (GGA-PBE) on a relaxed structure of Ba2ZnPPd6.

Results
Crystal system: triclinic
Symmetry: No. 2
Final energy, eV per atom: -4.781

Cell lengths 6.236, 6.511, 7.054 Å; angles 65.46, 63.83, 61.42 degrees
Element x y z (fractional)
Ba 0.222 0.219 0.337
Ba 0.778 0.781 0.663
Zn 0.500 0.500 0.500
P 0.000 0.000 0.000
Pd 0.241 0.247 0.832
Pd 0.246 0.663 0.846
Pd 0.320 0.753 0.168
Pd 0.680 0.247 0.832
Pd 0.754 0.337 0.154
Pd 0.759 0.753 0.168

=====

VASP calculation (GGA-PBE) on a relaxed structure of PrIn3Hg6.

Results
Crystal system: trigonal
Symmetry: No. 148
Final energy, eV per atom: -1.609

Cell lengths 8.785, 8.785, 8.785 Å; angles 108.40, 108.40, 108.40 degrees
Element x y z (fractional)
Pr 0.000 0.000 0.000
Pr 0.500 0.500 0.500
In 0.072 0.251 0.427
In 0.251 0.427 0.072
In 0.427 0.072 0.251
In 0.573 0.928 0.749
In 0.749 0.573 0.928
In 0.928 0.749 0.573
Hg 0.050 0.868 0.318
Hg 0.132 0.682 0.950
Hg 0.184 0.634 0.449
Hg 0.318 0.050 0.868
Hg 0.366 0.551 0.816
Hg 0.449 0.184 0.634
Hg 0.551 0.816 0.366
Hg 0.634 0.449 0.184
Hg 0.682 0.950 0.132
Hg 0.816 0.366 0.551
Hg 0.868 0.318 0.050
Hg 0.950 0.132 0.682

=====

VASP calculation (GGA-PBE) on a relaxed structure of TbPrDy2Ho.

Results
Crystal system: orthorhombic
Symmetry: No. 63
Final energy, eV per atom: -4.257

Cell lengths 7.135, 7.135, 7.199 Å; angles 90.00, 90.00, 107.72 degrees
Element x y z (fractional)
Tb 0.002 0.998 0.750
Tb 0.998 0.002 0.250
Pr 0.272 0.728 0.750
Pr 0.728 0.272 0.250
Dy 0.311 0.311 0.000
Dy 0.311 0.311 0.500
Dy 0.689 0.689 0.000
Dy 0.689 0.689 0.500
Ho 0.276 0.724 0.250
Ho 0.724 0.276 0.750

=====

VASP calculation (GGA-PBE) on a relaxed structure of LiFe2P.

Results
Crystal system: trigonal
Symmetry: No. 166
Final energy, eV per atom: -5.980

Cell lengths 2.662, 2.662, 23.020 Å; angles 90.00, 90.00, 120.00 degrees
Element x y z (fractional)
Li 0.000 0.000 0.000
Li 0.333 0.667 0.667
Li 0.667 0.333 0.333
Fe 0.000 0.000 0.237
Fe 0.000 0.000 0.763
Fe 0.333 0.667 0.429
Fe 0.333 0.667 0.904
Fe 0.667 0.333 0.096
Fe 0.667 0.333 0.571
P 0.000 0.000 0.500
P 0.333 0.667 0.167
P 0.667 0.333 0.833

=====

VASP calculation (GGA-PBE) on a relaxed structure of BaSrCa2Cd.

Results
Crystal system: tetragonal
Symmetry: No. 123
Offset from the most stable computed form, meV/atom: 0
Final energy, eV per atom: -1.736

Cell lengths 6.150, 6.150, 6.365 Å; angles 90.00, 90.00, 90.00 degrees
Element x y z (fractional)
Ba 0.000 0.000 0.000
Sr 0.500 0.500 0.000
Ca 0.000 0.500 0.500
Ca 0.500 0.000 0.500
Cd 0.500 0.500 0.500

=====

VASP calculation (GGA-PBE) on a relaxed structure of Hf2Al2Re.

Results
Crystal system: tetragonal
Symmetry: No. 127
Final energy, eV per atom: -8.287

Cell lengths 6.854, 6.854, 3.756 Å; angles 90.00, 90.00, 90.00 degrees
Element x y z (fractional)
Hf 0.174 0.326 0.000
Hf 0.326 0.826 0.000
Hf 0.674 0.174 0.000
Hf 0.826 0.674 0.000
Al 0.130 0.630 0.500
Al 0.370 0.130 0.500
Al 0.630 0.870 0.500
Al 0.870 0.370 0.500
Re 0.000 0.000 0.500
Re 0.500 0.500 0.500

=====

VASP calculation (GGA-PBE) on a relaxed structure of Cd2HgAu.

Results
Crystal system: trigonal
Symmetry: No. 160
Offset from the most stable computed form, meV/atom: 75
Final energy, eV per atom: -1.359

Cell lengths 2.989, 2.989, 34.561 Å; angles 90.00, 90.00, 120.00 degrees
Element x y z (fractional)
Cd 0.000 0.000 0.000
Cd 0.000 0.000 0.244
Cd 0.333 0.667 0.667
Cd 0.333 0.667 0.911
Cd 0.667 0.333 0.333
Cd 0.667 0.333 0.577
Hg 0.000 0.000 0.760
Hg 0.333 0.667 0.427
Hg 0.667 0.333 0.093
Au 0.000 0.000 0.504
Au 0.333 0.667 0.171
Au 0.667 0.333 0.838

=====

VASP calculation (GGA-PBE) on a relaxed structure of Sc2SnBr.

Results
Crystal system: cubic
Symmetry: No. 225
E_form (uncorrected), eV per atom: -0.560
Offset from the most stable computed form, meV/atom: 104
Final energy, eV per atom: -5.145

Cell lengths 7.189, 7.189, 7.189 Å; angles 90.00, 90.00, 90.00 degrees
Element x y z (fractional)
Sc 0.250 0.250 0.250
Sc 0.250 0.250 0.750
Sc 0.250 0.750 0.250
Sc 0.250 0.750 0.750
Sc 0.750 0.250 0.250
Sc 0.750 0.250 0.750
Sc 0.750 0.750 0.250
Sc 0.750 0.750 0.750
Sn 0.000 0.000 0.000
Sn 0.000 0.500 0.500
Sn 0.500 0.000 0.500
Sn 0.500 0.500 0.000
Br 0.000 0.000 0.500
Br 0.000 0.500 0.000
Br 0.500 0.000 0.000
Br 0.500 0.500 0.500

=====

VASP calculation (GGA-PBE) on a relaxed structure of RbBaNpF6.

Results
Crystal system: trigonal
Symmetry: No. 163
E_form (uncorrected), eV per atom: -3.373
Final energy, eV per atom: -6.379

Cell lengths 6.861, 6.861, 10.067 Å; angles 90.00, 90.00, 120.00 degrees
Element x y z (fractional)
Rb 0.000 0.000 0.000
Rb 0.000 0.000 0.500
Ba 0.333 0.667 0.250
Ba 0.667 0.333 0.750
Np 0.333 0.667 0.750
Np 0.667 0.333 0.250
F 0.035 0.384 0.635
F 0.035 0.651 0.865
F 0.349 0.384 0.865
F 0.349 0.965 0.635
F 0.384 0.035 0.135
F 0.384 0.349 0.365
F 0.616 0.651 0.635
F 0.616 0.965 0.865
F 0.651 0.035 0.365
F 0.651 0.616 0.135
F 0.965 0.349 0.135
F 0.965 0.616 0.365

=====

VASP calculation (GGA-PBE) on a relaxed structure of Zr2PbBr.

Results
Crystal system: orthorhombic
Symmetry: No. 71
E_form (uncorrected), eV per atom: -0.126
Final energy, eV per atom: -5.745

Cell lengths 3.262, 5.952, 9.835 Å; angles 90.00, 90.00, 90.00 degrees
Element x y z (fractional)
Zr 0.000 0.000 0.230
Zr 0.000 0.000 0.770
Zr 0.500 0.500 0.270
Zr 0.500 0.500 0.730
Pb 0.000 0.500 0.000
Pb 0.500 0.000 0.500
Br 0.000 0.500 0.500
Br 0.500 0.000 0.000

=====

VASP calculation (GGA-PBE) on a relaxed structure of Pm4Nd5In4.

Results
Crystal system: tetragonal
Symmetry: No. 87
Final energy, eV per atom: -4.449

Cell lengths 9.247, 9.247, 9.247 Å; angles 94.61, 94.61, 147.05 degrees
Element x y z (fractional)
Pm 0.095 0.385 0.481
Pm 0.385 0.905 0.290
Pm 0.615 0.095 0.710
Pm 0.905 0.615 0.519
Nd 0.000 0.000 0.000
Nd 0.311 0.596 0.907
Nd 0.404 0.311 0.714
Nd 0.596 0.689 0.286
Nd 0.689 0.404 0.093
In 0.111 0.767 0.878
In 0.233 0.111 0.344
In 0.767 0.889 0.656
In 0.889 0.233 0.122

=====

VASP calculation (GGA-PBE) on a relaxed structure of K3Sc2CrSe6.

Results
Crystal system: monoclinic
Symmetry: No. 12
E_form (uncorrected), eV per atom: -1.339
Final energy, eV per atom: -5.213

Cell lengths 6.843, 6.843, 7.932 Å; angles 98.29, 98.29, 120.02 degrees
Element x y z (fractional)
K 0.000 0.000 0.000
K 0.330 0.670 0.000
K 0.670 0.330 0.000
Sc 0.166 0.834 0.500
Sc 0.834 0.166 0.500
Cr 0.500 0.500 0.500
Se 0.117 0.437 0.310
Se 0.244 0.244 0.691
Se 0.437 0.117 0.310
Se 0.563 0.883 0.690
Se 0.756 0.756 0.309
Se 0.883 0.563 0.690

=====

VASP calculation (GGA-PBE) on a relaxed structure of ZnCrSi2.

Results
Crystal system: orthorhombic
Symmetry: No. 35
E_form (uncorrected), eV per atom: 0.275
Final energy, eV per atom: -5.161

Cell lengths 3.321, 4.077, 7.952 Å; angles 90.00, 90.00, 90.00 degrees
Element x y z (fractional)
Zn 0.000 0.000 0.000
Zn 0.500 0.500 0.000
Cr 0.000 0.500 0.250
Cr 0.500 0.000 0.250
Si 0.000 0.000 0.470
Si 0.000 0.500 0.726
Si 0.500 0.000 0.726
Si 0.500 0.500 0.470

=====

VASP calculation (GGA-PBE) on a relaxed structure of Sm2ZrHg.

Results
Crystal system: tetragonal
Symmetry: No. 123
Offset from the most stable computed form, meV/atom: 0
Final energy, eV per atom: -4.729

Cell lengths 3.502, 3.502, 9.011 Å; angles 90.00, 90.00, 90.00 degrees
Element x y z (fractional)
Sm 0.000 0.000 0.242
Sm 0.000 0.000 0.758
Zr 0.500 0.500 0.500
Hg 0.500 0.500 0.000

=====

VASP calculation (GGA-PBE) on a relaxed structure of CuRe2PAu.

Results
Crystal system: tetragonal
Symmetry: No. 123
Final energy, eV per atom: -6.708

Cell lengths 4.413, 4.413, 4.253 Å; angles 90.00, 90.00, 90.00 degrees
Element x y z (fractional)
Cu 0.000 0.000 0.000
Re 0.000 0.500 0.500
Re 0.500 0.000 0.500
P 0.000 0.000 0.500
Au 0.500 0.500 0.000

=====

VASP calculation (GGA-PBE) on a relaxed structure of MgTlInSn.

Results
Crystal system: cubic
Symmetry: No. 216
Offset from the most stable computed form, meV/atom: 51
Final energy, eV per atom: -2.678

Cell lengths 7.563, 7.563, 7.563 Å; angles 90.00, 90.00, 90.00 degrees
Element x y z (fractional)
Mg 0.000 0.000 0.000
Mg 0.000 0.500 0.500
Mg 0.500 0.000 0.500
Mg 0.500 0.500 0.000
Tl 0.250 0.250 0.250
Tl 0.250 0.750 0.750
Tl 0.750 0.250 0.750
Tl 0.750 0.750 0.250
In 0.000 0.000 0.500
In 0.000 0.500 0.000
In 0.500 0.000 0.000
In 0.500 0.500 0.500
Sn 0.250 0.250 0.750
Sn 0.250 0.750 0.250
Sn 0.750 0.250 0.250
Sn 0.750 0.750 0.750